# VAgN2F

VAgN2F after structural relaxation (PBE with a Hubbard U, Alexandria).

## Properties
* energy above the lowest structure with this stoichiometry: 0.000 eV per atom
* total energy: -0.4182 Ry per atom
* total magnetization: 0.0 μB/f.u.
* density: 5.81 g cm⁻³
* DOS(E_F): 2.5 states/eV/f.u.

abc: 3.8338 3.8338 4.0042
angles: 90.00 90.00 90.00
Atoms (fractional coordinates):
V (0.0000, 0.0000, 0.0000)
Ag (0.5000, 0.5000, 0.5000)
N (0.0000, 0.5000, 0.0000)
N (0.5000, 0.0000, 0.0000)
F (0.0000, 0.0000, 0.5000)